Entry 1:
5
Lattice="4.273 0.000 0.000 0.000 4.273 0.000 2.137 2.137 5.840" Properties=species:S:1:pos:R:3 comment="Ag2Ge2Sb, optimized geometry, DFT GGA-PBE" spacegroup="No. 139" pbc="T T T"
Sb 0.000 0.000 0.000
Ge 2.137 2.137 1.233
Ge 4.273 4.273 4.607
Ag 4.273 2.137 2.920
Ag 2.137 4.273 2.920



Entry 2:
5
Lattice="-3.923 -2.623 -1.446 1.686 0.036 -4.639 2.476 -4.181 0.867" Properties=species:S:1:pos:R:3 comment="Ag3GeSb, optimized geometry, DFT GGA-PBE" spacegroup="No. 221" pbc="T T T"
Sb 0.119 -3.384 -2.609
Ge 0.000 0.000 0.000
Ag 0.843 0.018 -2.319
Ag 1.238 -2.090 0.433
Ag -1.962 -1.311 -0.723



Entry 3:
5
Lattice="5.020 0.000 0.000 0.000 5.020 0.000 0.000 0.000 5.020" Properties=species:S:1:pos:R:3 comment="AgGe3Sb, optimized geometry, DFT GGA-PBE" spacegroup="No. 221" pbc="T T T"
Sb 2.510 2.510 2.510
Ge 0.000 2.510 0.000
Ge 0.000 0.000 2.510
Ge 2.510 0.000 0.000
Ag 0.000 0.000 0.000



Entry 4:
10
Lattice="-0.237 -7.965 0.463 7.339 -0.036 3.140 -1.268 0.210 2.966" Properties=species:S:1:pos:R:3 comment="Ag2Ge2Sb, optimized geometry, DFT GGA-PBE" spacegroup="No. 127" pbc="T T T"
Sb 0.000 0.000 0.000
Sb 3.551 -4.001 1.801
Ge 4.207 -1.232 3.646
Ge 5.338 -5.221 4.412
Ge 1.628 -6.559 2.921
Ge 0.497 -2.571 2.155
Ag 6.289 -2.969 2.899
Ag 4.426 -6.944 2.383
Ag 0.813 -5.032 0.704
Ag 2.676 -1.058 1.219



Entry 5:
5
Lattice="-2.334 1.730 4.496 0.831 -4.777 2.270 4.745 1.688 1.814" Properties=species:S:1:pos:R:3 comment="AgGeSb3, optimized geometry, DFT GGA-PBE" spacegroup="No. 221" pbc="T T T"
Sb 0.416 -2.388 1.135
Sb 2.373 0.844 0.907
Sb -1.167 0.865 2.248
Ge 0.000 0.000 0.000
Ag 1.621 -0.679 4.290



Entry 6:
6
Lattice="-2.665 -1.403 -0.974 1.115 -0.588 2.937 -8.104 11.641 5.405" Properties=species:S:1:pos:R:3 comment="AgGeSb, optimized geometry, DFT GGA-PBE" spacegroup="No. 38" pbc="T T T"
Ge -0.073 -0.435 0.827
Ge -4.227 4.782 4.677
Ag -4.321 2.825 2.610
Ag -6.656 6.179 4.168
Sb -6.749 8.709 5.921
Sb -1.623 1.345 2.501



Entry 7:
5
Lattice="-4.375 1.782 -2.201 0.591 -3.388 -3.916 -2.770 -3.537 2.642" Properties=species:S:1:pos:R:3 comment="Ag3GeSb, optimized geometry, DFT GGA-PBE" spacegroup="No. 221" pbc="T T T"
Sb 0.000 0.000 0.000
Ge -3.277 -2.571 -1.738
Ag 0.295 -1.694 -1.958
Ag -1.385 -1.768 1.321
Ag -2.187 0.891 -1.101



Entry 8:
3
Lattice="3.035 0.000 0.000 0.000 5.041 0.000 0.000 -2.521 4.366" Properties=species:S:1:pos:R:3 comment="AgGeSb, optimized geometry, DFT GGA-PBE" spacegroup="No. 156" pbc="T T T"
Sb 1.514 0.000 2.910
Ge 1.518 2.521 1.455
Ag 0.003 0.000 0.000



Entry 9:
10
Lattice="-1.150 -1.473 -7.619 -0.849 -7.632 1.603 -3.717 0.510 0.462" Properties=species:S:1:pos:R:3 comment="AgGe2Sb2, optimized geometry, DFT GGA-PBE" spacegroup="No. 127" pbc="T T T"
Sb -2.609 -5.049 0.050
Sb -3.331 -7.107 -3.482
Sb -3.106 -3.546 -5.603
Sb -2.384 -1.488 -2.071
Ge -1.141 -7.081 -1.356
Ge -1.532 -6.160 -5.513
Ge -0.858 -2.024 -4.660
Ge -0.467 -2.945 -0.502
Ag 0.000 0.000 0.000
Ag -0.999 -4.552 -3.008



Entry 10:
10
Lattice="-3.147 -7.027 2.022 2.196 1.192 7.558 -3.313 1.684 0.697" Properties=species:S:1:pos:R:3 comment="AgGe2Sb2, optimized geometry, DFT GGA-PBE" spacegroup="No. 127" pbc="T T T"
Sb 0.779 -1.363 6.996
Sb -1.171 -5.081 6.711
Sb -1.730 -4.472 2.585
Sb 0.220 -0.754 2.870
Ge -0.685 0.660 5.405
Ge -1.746 -2.576 8.180
Ge -3.578 -4.811 4.873
Ge -2.517 -1.576 2.098
Ag 0.000 0.000 0.000
Ag -0.475 -2.918 4.790



Entry 11:
5
Lattice="5.348 0.000 0.000 0.000 5.348 0.000 0.000 0.000 5.348" Properties=species:S:1:pos:R:3 comment="AgGeSb3, optimized geometry, DFT GGA-PBE" spacegroup="No. 221" pbc="T T T"
Sb 0.000 2.674 0.000
Sb 0.000 0.000 2.674
Sb 2.674 0.000 0.000
Ge 2.674 2.674 2.674
Ag 0.000 0.000 0.000



Entry 12:
3
Lattice="4.676 0.000 0.000 2.338 4.049 0.000 2.338 1.350 3.818" Properties=species:S:1:pos:R:3 comment="AgGeSb, optimized geometry, DFT GGA-PBE" spacegroup="No. 216" pbc="T T T"
Sb 4.676 2.700 1.909
Ge 0.000 0.000 0.000
Ag 2.338 1.350 0.954



Record order is preserved below.
Raw total energy: -3.55, -2.94, -3.51, -3.56, -3.20, -3.63, -2.75, -3.59, -3.75, -3.77, -3.18, -3.69 eV per atom
Record order is preserved below.
Excess energy over the best structure of this formula in the dataset: 24, 0, 0, 15, 0, 61, 191, 103, 48, 34, 19, 0 meV per atom